Entry 1:
{"formula": "Th2Ni2Te", "functional": "PBE-GGA", "state": "optimized geometry", "lattice_angstrom": [[3.8215, 0.0000, 0.0000], [0.0000, 7.5735, 0.0000], [0.0000, 0.0000, 7.5735]], "species": ["Th", "Th", "Th", "Th", "Ni", "Ni", "Ni", "Ni", "Te", "Te"], "fractional_positions": [[0.5000, 0.1735, 0.6735], [0.5000, 0.6735, 0.8265], [0.5000, 0.8265, 0.3265], [0.5000, 0.3265, 0.1735], [0.0000, 0.3801, 0.8801], [0.0000, 0.8801, 0.6199], [0.0000, 0.6199, 0.1199], [0.0000, 0.1199, 0.3801], [0.0000, 0.0000, 0.0000], [0.0000, 0.5000, 0.5000]], "crystal_system": "tetragonal", "sg": "P4/mbm, No. 127", "total_energy_ev_per_atom": -6.564, "e_form_raw_ev_per_atom": -0.6553, "rho_g_cm3": 10.7}

=====

Entry 2:
{"formula": "AcCF", "functional": "PBE-GGA", "state": "optimized geometry", "lattice_angstrom": [[-4.0648, -0.6779, 0.3525], [2.6592, -3.3667, -0.0744], [0.7103, -0.5322, 7.1673]], "species": ["Ac", "Ac", "C", "C", "F", "F"], "fractional_positions": [[0.3469, 0.6938, 0.2299], [0.6531, 0.3062, 0.7701], [0.0687, 0.1375, 0.0517], [0.9313, 0.8625, 0.9483], [0.6840, 0.3680, 0.3971], [0.3160, 0.6320, 0.6029]], "crystal_system": "monoclinic", "sg": "C2/m, No. 12", "total_energy_ev_per_atom": -6.983, "e_form_raw_ev_per_atom": -1.9149, "rho_g_cm3": 7.7}

=====

Entry 3:
{"formula": "ZrOs2Rh", "functional": "PBE-GGA", "state": "optimized geometry", "lattice_angstrom": [[4.8201, -0.0031, 0.0000], [-1.5987, 4.5473, 0.0000], [0.0000, 0.0000, 2.8949]], "species": ["Os", "Os", "Rh", "Zr"], "fractional_positions": [[0.0000, 0.0000, 0.0000], [0.5000, 0.5000, 0.0000], [0.5000, 0.0000, 0.5000], [0.0000, 0.5000, 0.5000]], "crystal_system": "orthorhombic", "e_above_lowest_polymorph_mev_per_atom": 179.4, "formation_enthalpy_0k_ev_per_atom": -0.0325, "sg": "Cmmm, No. 65", "total_energy_ev_per_atom": -9.622, "rho_g_cm3": 15.0}

=====

Entry 4:
{"formula": "Tb5Tm2Rh4", "functional": "PBE-GGA", "state": "optimized geometry", "lattice_angstrom": [[-2.1913, 0.8543, 3.7606], [1.0790, -5.8023, 1.9469], [10.2213, -1.9596, 3.7854]], "species": ["Tb", "Tb", "Tb", "Tb", "Tb", "Tm", "Tm", "Rh", "Rh", "Rh", "Rh"], "fractional_positions": [[0.1318, 0.8025, 0.2636], [0.8682, 0.1975, 0.7364], [0.4119, 0.6298, 0.8238], [0.5000, 0.0000, 0.0000], [0.5881, 0.3702, 0.1762], [0.2413, 0.2046, 0.4827], [0.7587, 0.7954, 0.5173], [0.6988, 0.4860, 0.3976], [0.9995, 0.7225, 0.9990], [0.3012, 0.5140, 0.6024], [0.0005, 0.2775, 0.0010]], "crystal_system": "monoclinic", "formation_enthalpy_0k_ev_per_atom": -0.6437, "sg": "C2/m, No. 12", "total_energy_ev_per_atom": -6.235, "rho_g_cm3": 9.6}